Here is a relaxed Rb3Dy3TiS8 crystal from Alexandria via LeMat-Bulk. Energies are from PBE-GGA.

abc: 7.8775 7.8775 23.4928
angles: 90.00 90.00 120.00
Space group R-3m (No. 166, hexagonal axes)
One atom of each set of equivalent atoms:
Rb: 0.0000 0.5000 0.0000 x9
Dy: 0.0000 0.5000 0.5000 x9
Ti: 0.0000 0.0000 0.5000 x3
S: 0.0000 0.0000 0.2309 x6
S: 0.0276 0.5138 0.2264 x18

**Total moment**: 0.00 Bohr magnetons per cell
**Calculated volume**: 1263 Å³ per cell
**E_form (uncorrected)**: -25.8 eV per formula unit

---

Here is a relaxed Rb2DyTiS4 crystal from Alexandria via LeMat-Bulk. Energies are from PBE-GGA.

abc: 7.371 7.371 9.609
angles: 90.00 90.00 90.00
Space group I-4 (No. 82)
One atom of each set of equivalent atoms:
Rb: 0.000 0.000 0.000 x2
Rb: 0.000 0.500 0.250 x2
Dy: 0.000 0.500 0.750 x2
Ti: 0.000 0.000 0.500 x2
S: 0.155 0.763 0.615 x8

**Total moment**: 2.00 Bohr magnetons per cell
**Calculated volume**: 522 Å³ per cell
**E_form (uncorrected)**: -11.3 eV per formula unit

---

Here is a relaxed Rb2DyTlS4 crystal from Alexandria via LeMat-Bulk. Energies are from PBE-GGA.

abc: 11.894 12.308 8.420
angles: 90.00 133.80 90.00
Space group C2/c (No. 15)
One atom of each set of equivalent atoms:
Rb: 0.000 0.000 0.000 x4
Rb: 0.250 0.250 0.000 x4
Dy: 0.000 0.500 0.000 x4
Tl: 0.250 0.250 0.500 x4
S: 0.009 0.269 0.473 x8
S: 0.211 0.489 0.458 x8

**Total moment**: 0.00 Bohr magnetons per cell
**Calculated volume**: 890 Å³ per cell
**E_form (uncorrected)**: -8.9 eV per formula unit

---

Here is a relaxed Rb3Dy2TmS6 crystal from Alexandria via LeMat-Bulk. Energies are from PBE-GGA.

abc: 7.035 12.186 8.034
angles: 90.00 106.97 90.00
Space group C2/m (No. 12)
One atom of each set of equivalent atoms:
Rb: 0.000 0.000 0.000 x2
Rb: 0.000 0.333 0.000 x4
Dy: 0.000 0.167 0.500 x4
Tm: 0.000 0.500 0.500 x2
S: 0.229 0.335 0.691 x8
S: 0.234 0.000 0.691 x4

**Total moment**: 0.00 Bohr magnetons per cell
**Calculated volume**: 659 Å³ per cell
**E_form (uncorrected)**: -22.3 eV per formula unit

---

Here is a relaxed RbDyTm4S8 crystal from Alexandria via LeMat-Bulk. Energies are from PBE-GGA.

abc: 8.1653 8.1653 20.2003
angles: 90.00 90.00 120.00
Space group R3m (No. 160, hexagonal axes)
One atom of each set of equivalent atoms:
Rb: 0.0000 0.0000 0.0000 x3
Dy: 0.0000 0.0000 0.6325 x3
Tm: 0.0000 0.0000 0.2525 x3
Tm: 0.1727 0.3455 0.4590 x9
S: 0.0000 0.0000 0.3843 x3
S: 0.0000 0.0000 0.8572 x3
S: 0.0487 0.5244 0.3851 x9
S: 0.1755 0.3510 0.2077 x9

**Total moment**: 0.00 Bohr magnetons per cell
**Calculated volume**: 1166 Å³ per cell
**E_form (uncorrected)**: -26.5 eV per formula unit

---

Here is a relaxed Rb3DyU2S6 crystal from Alexandria via LeMat-Bulk. Energies are from PBE-GGA.

abc: 7.064 12.236 8.080
angles: 90.00 106.94 90.00
Space group C2/m (No. 12)
One atom of each set of equivalent atoms:
Rb: 0.000 0.000 0.000 x2
Rb: 0.000 0.334 0.000 x4
Dy: 0.000 0.500 0.500 x2
U: 0.000 0.167 0.500 x4
S: 0.231 0.000 0.693 x4
S: 0.231 0.333 0.693 x8

**Total moment**: 12.03 Bohr magnetons per cell
**Calculated volume**: 668 Å³ per cell
**E_form (uncorrected)**: -18.1 eV per formula unit

---

Here is a relaxed RbDyUS4 crystal from Alexandria via LeMat-Bulk. Energies are from PBE-GGA.

abc: 8.507 8.510 11.827
angles: 90.00 90.00 90.00
Space group Imma (No. 74)
One atom of each set of equivalent atoms:
Rb: 0.000 0.250 0.124 x4
Dy: 0.000 0.000 0.500 x4
U: 0.250 0.250 0.750 x4
S: 0.000 0.048 0.733 x8
S: 0.207 0.250 0.523 x8

**Total moment**: 8.00 Bohr magnetons per cell
**Calculated volume**: 856 Å³ per cell
**E_form (uncorrected)**: -11.0 eV per formula unit

---

Here is a relaxed Rb4DyU3S12 crystal from Alexandria via LeMat-Bulk. Energies are from PBE-GGA.

abc: 10.438 10.438 10.438
angles: 90.00 90.00 90.00
Space group Im-3m (No. 229)
One atom of each set of equivalent atoms:
Rb: 0.250 0.250 0.250 x8
Dy: 0.000 0.000 0.000 x2
U: 0.000 0.000 0.500 x6
S: 0.000 0.000 0.260 x12
S: 0.000 0.250 0.500 x12

**Total moment**: 2.13 Bohr magnetons per cell
**Calculated volume**: 1137 Å³ per cell
**E_form (uncorrected)**: -27.7 eV per formula unit

---

Here is a relaxed Rb4Dy3US8 crystal from Alexandria via LeMat-Bulk. Energies are from PBE-GGA.

abc: 8.1774 8.1774 23.0810
angles: 90.00 90.00 120.00
Space group R-3m (No. 166, hexagonal axes)
One atom of each set of equivalent atoms:
Rb: 0.0000 0.0000 0.0000 x3
Rb: 0.0000 0.5000 0.0000 x9
Dy: 0.0000 0.5000 0.5000 x9
U: 0.0000 0.0000 0.5000 x3
S: 0.0000 0.0000 0.2307 x6
S: 0.0010 0.5005 0.7692 x18

**Total moment**: 9.01 Bohr magnetons per cell
**Calculated volume**: 1337 Å³ per cell
**E_form (uncorrected)**: -27.4 eV per formula unit

---

Here is a relaxed Rb2Dy2US6 crystal from Alexandria via LeMat-Bulk. Energies are from PBE-GGA.

abc: 6.984 12.091 8.207
angles: 90.00 106.69 90.00
Space group C2/m (No. 12)
One atom of each set of equivalent atoms:
Rb: 0.000 0.168 0.000 x4
Dy: 0.000 0.334 0.500 x4
U: 0.000 0.000 0.500 x2
S: 0.226 0.165 0.686 x8
S: 0.236 0.500 0.685 x4

**Total moment**: 4.00 Bohr magnetons per cell
**Calculated volume**: 664 Å³ per cell
**E_form (uncorrected)**: -19.1 eV per formula unit

---

Here is a relaxed Rb3Dy2US6 crystal from Alexandria via LeMat-Bulk. Energies are from PBE-GGA.

abc: 7.090 12.287 8.049
angles: 90.00 107.09 90.00
Space group C2/m (No. 12)
One atom of each set of equivalent atoms:
Rb: 0.000 0.000 0.000 x2
Rb: 0.000 0.333 0.000 x4
Dy: 0.000 0.167 0.500 x4
U: 0.000 0.500 0.500 x2
S: 0.230 0.000 0.693 x4
S: 0.231 0.333 0.692 x8

**Total moment**: 6.02 Bohr magnetons per cell
**Calculated volume**: 670 Å³ per cell
**E_form (uncorrected)**: -19.9 eV per formula unit

---

Here is a relaxed Rb3DyU3S8 crystal from Alexandria via LeMat-Bulk. Energies are from PBE-GGA.

abc: 8.0808 8.0808 23.5089
angles: 90.00 90.00 120.00
Space group R-3m (No. 166, hexagonal axes)
One atom of each set of equivalent atoms:
Rb: 0.0000 0.5000 0.0000 x9
Dy: 0.0000 0.0000 0.5000 x3
U: 0.0000 0.5000 0.5000 x9
S: 0.0000 0.0000 0.2306 x6
S: 0.0008 0.5004 0.7707 x18

**Total moment**: 24.00 Bohr magnetons per cell
**Calculated volume**: 1329 Å³ per cell
**E_form (uncorrected)**: -22.7 eV per formula unit

---

Here is a relaxed Rb2DyUS6 crystal from Alexandria via LeMat-Bulk. Energies are from PBE-GGA.

abc: 10.494 10.494 10.494
angles: 90.00 90.00 90.00
Space group Fm-3m (No. 225)
One atom of each set of equivalent atoms:
Rb: 0.250 0.250 0.250 x8
Dy: 0.000 0.000 0.000 x4
U: 0.000 0.000 0.500 x4
S: 0.000 0.000 0.258 x24

**Total moment**: 0.00 Bohr magnetons per cell
**Calculated volume**: 1156 Å³ per cell
**E_form (uncorrected)**: -13.5 eV per formula unit

---

Here is a relaxed RbDyVS4 crystal from Alexandria via LeMat-Bulk. Energies are from PBE-GGA.

abc: 6.558 6.722 9.062
angles: 90.00 107.83 90.00
Space group P2_1/m (No. 11)
One atom of each set of equivalent atoms:
Rb: 0.243 0.250 0.442 x2
Dy: 0.289 0.250 0.956 x2
V: 0.257 0.750 0.161 x2
S: 0.057 0.750 0.922 x2
S: 0.062 0.750 0.317 x2
S: 0.497 0.503 0.197 x4

**Total moment**: 2.00 Bohr magnetons per cell
**Calculated volume**: 380 Å³ per cell
**E_form (uncorrected)**: -9.6 eV per formula unit

---

Here is a relaxed Rb3Dy3VS8 crystal from Alexandria via LeMat-Bulk. Energies are from PBE-GGA.

abc: 7.8453 7.8453 23.5139
angles: 90.00 90.00 120.00
Space group R-3m (No. 166, hexagonal axes)
One atom of each set of equivalent atoms:
Rb: 0.0000 0.5000 0.0000 x9
Dy: 0.0000 0.5000 0.5000 x9
V: 0.0000 0.0000 0.5000 x3
S: 0.0000 0.0000 0.2312 x6
S: 0.0311 0.5155 0.2259 x18

**Total moment**: 3.00 Bohr magnetons per cell
**Calculated volume**: 1253 Å³ per cell
**E_form (uncorrected)**: -23.8 eV per formula unit

---

Here is a relaxed Rb2DyYS4 crystal from Alexandria via LeMat-Bulk. Energies are from PBE-GGA.

abc: 7.072 4.082 8.041
angles: 90.00 107.04 90.00
Space group P2/m (No. 10)
One atom of each set of equivalent atoms:
Rb: 0.000 0.000 0.000 x1
Rb: 0.500 0.500 0.000 x1
Dy: 0.000 0.500 0.500 x1
Y: 0.500 0.000 0.500 x1
S: 0.230 0.000 0.692 x2
S: 0.269 0.500 0.308 x2

**Total moment**: 0.00 Bohr magnetons per cell
**Calculated volume**: 222 Å³ per cell
**E_form (uncorrected)**: -14.9 eV per formula unit

---

Here is a relaxed RbDyY4S8 crystal from Alexandria via LeMat-Bulk. Energies are from PBE-GGA.

abc: 8.2849 8.2849 20.2747
angles: 90.00 90.00 120.00
Space group R3m (No. 160, hexagonal axes)
One atom of each set of equivalent atoms:
Rb: 0.0000 0.0000 0.0000 x3
Dy: 0.0000 0.0000 0.6293 x3
Y: 0.0000 0.0000 0.2497 x3
Y: 0.1728 0.3456 0.4566 x9
S: 0.0000 0.0000 0.3820 x3
S: 0.0000 0.0000 0.8560 x3
S: 0.0508 0.5254 0.3808 x9
S: 0.1763 0.3527 0.2057 x9

**Total moment**: 0.00 Bohr magnetons per cell
**Calculated volume**: 1205 Å³ per cell
**E_form (uncorrected)**: -26.7 eV per formula unit

---

Here is a relaxed Rb3DyY2S6 crystal from Alexandria via LeMat-Bulk. Energies are from PBE-GGA.

abc: 7.071 12.249 8.043
angles: 90.00 107.03 90.00
Space group C2/m (No. 12)
One atom of each set of equivalent atoms:
Rb: 0.000 0.000 0.000 x2
Rb: 0.000 0.333 0.000 x4
Dy: 0.000 0.500 0.500 x2
Y: 0.000 0.167 0.500 x4
S: 0.230 0.334 0.692 x8
S: 0.231 0.000 0.692 x4

**Total moment**: 0.00 Bohr magnetons per cell
**Calculated volume**: 666 Å³ per cell
**E_form (uncorrected)**: -22.3 eV per formula unit

---

Here is a relaxed Rb3Dy2ZrS6 crystal from Alexandria via LeMat-Bulk. Energies are from PBE-GGA.

abc: 6.893 11.939 8.038
angles: 90.00 106.63 90.00
Space group C2/m (No. 12)
One atom of each set of equivalent atoms:
Rb: 0.000 0.000 0.000 x2
Rb: 0.000 0.331 0.000 x4
Dy: 0.000 0.166 0.500 x4
Zr: 0.000 0.500 0.500 x2
S: 0.224 0.340 0.692 x8
S: 0.244 0.000 0.693 x4

**Total moment**: 0.00 Bohr magnetons per cell
**Calculated volume**: 634 Å³ per cell
**E_form (uncorrected)**: -20.3 eV per formula unit